Material: Mn2IrRh
Method: DFT, PBE
State: relaxed

a b c (Å): 2.6662 3.6495 5.3139
angles (deg): 90.00 90.00 90.00
With the nearest neighbours (Å) after each atom.
Sites, in units of the cell vectors:
Mn  0.0000  0.0000  0.2468  4 Ir 2.61, 4 Mn 2.62-2.69, 4 Rh 2.63
Mn  0.0000  0.0000  0.7532  4 Ir 2.61, 4 Mn 2.62-2.69, 4 Rh 2.63
Ir  0.5000  0.5000  0.0000  8 Mn 2.61, 2 Rh 2.66, 2 Ir 2.67
Rh  0.5000  0.5000  0.5000  8 Mn 2.63, 2 Ir 2.66, 2 Rh 2.67

Properties
**Total moment**: 0.7269 μB/atom
**Calculated formation energy**: -83 meV/atom
**Crystal system**: orthorhombic
**Calculated density**: 13007 kg/m³